TlCuSnTeS2 | PBE | relaxed

## Properties
DFT total energy in eV/cell: -45.79

The structure in POSCAR format:
```
TlCuSnTeS2
1.0
-7.753 0.445 1.173
7.134 -2.880 1.577
1.614 8.144 7.576
Cu S Sn Te Tl
2 4 2 2 2
Direct
0.941 0.059 0.250
0.059 0.941 0.750
0.885 0.115 0.063
0.885 0.115 0.437
0.115 0.885 0.563
0.115 0.885 0.937
0.500 0.500 0.000
0.500 0.500 0.500
0.572 0.428 0.250
0.428 0.572 0.750
0.270 0.730 0.250
0.730 0.270 0.750
```